The following is a DFT calculation (PBE-GGA) of crystalline Li2CrAu at its relaxed geometry.

a = 3.9459 Å, b = 3.9459 Å, c = 8.0807 Å
α = 90.00°, β = 90.00°, γ = 90.00°
Closest atoms and distances in Å follow each position.
Atoms (fractional coordinates):
Li 0.0000 0.5000 0.2500  4 Li 2.79, 4 Cr 2.82, 4 Au 2.82
Li 0.0000 0.5000 0.7500  4 Li 2.79, 4 Cr 2.82, 4 Au 2.82
Li 0.5000 0.0000 0.2500  4 Li 2.79, 4 Cr 2.82, 4 Au 2.82
Li 0.5000 0.0000 0.7500  4 Li 2.79, 4 Cr 2.82, 4 Au 2.82
Cr 0.0000 0.0000 0.0000  4 Au 2.79, 8 Li 2.82
Cr 0.5000 0.5000 0.5000  4 Au 2.79, 8 Li 2.82
Au 0.0000 0.0000 0.5000  4 Cr 2.79, 8 Li 2.82
Au 0.5000 0.5000 0.0000  4 Cr 2.79, 8 Li 2.82

Computed properties:
Magnetization (μB/cell): 8.463

The following is a DFT calculation (PBE-GGA) of crystalline Tm5HgSb2 at its relaxed geometry.

a = 6.4341 Å, b = 6.4341 Å, c = 14.0874 Å
α = 90.00°, β = 90.00°, γ = 127.92°
Closest atoms and distances in Å follow each position.
Atoms (fractional coordinates):
Tm 0.0689 0.9311 0.6023  2 Sb 3.12-3.35, 1 Tm 3.29, 1 Hg 3.31
Tm 0.0689 0.9311 0.8977  2 Sb 3.12-3.35, 1 Tm 3.29, 1 Hg 3.31
Tm 0.3790 0.6210 0.5503  1 Hg 2.99, 3 Sb 3.06-3.09, 1 Tm 3.14
Tm 0.3790 0.6210 0.9497  1 Hg 2.99, 3 Sb 3.06-3.09, 1 Tm 3.14
Tm 0.4087 0.5913 0.2500  2 Sb 3.11, 1 Hg 3.47
Tm 0.5913 0.4087 0.7500  2 Sb 3.11, 1 Hg 3.47
Tm 0.6210 0.3790 0.0503  1 Hg 2.99, 3 Sb 3.06-3.09, 1 Tm 3.14
Tm 0.6210 0.3790 0.4497  1 Hg 2.99, 3 Sb 3.06-3.09, 1 Tm 3.14
Tm 0.9311 0.0689 0.1023  2 Sb 3.12-3.35, 1 Tm 3.29, 1 Hg 3.31
Tm 0.9311 0.0689 0.3977  2 Sb 3.12-3.35, 1 Tm 3.29, 1 Hg 3.31
Hg 0.2915 0.7085 0.7500  4 Tm 2.99-3.31
Hg 0.7085 0.2915 0.2500  4 Tm 2.99-3.31
Sb 0.2006 0.7994 0.1098  6 Tm 3.06-3.35
Sb 0.2006 0.7994 0.3902  6 Tm 3.06-3.35
Sb 0.7994 0.2006 0.6098  6 Tm 3.06-3.35
Sb 0.7994 0.2006 0.8902  6 Tm 3.06-3.35

Computed properties:
Magnetization (μB/cell): 0.019

The following is a DFT calculation (PBE-GGA) of crystalline CaInS2Cl at its relaxed geometry.

a = 5.0556 Å, b = 5.0556 Å, c = 5.0475 Å
α = 90.00°, β = 90.00°, γ = 90.00°
Closest atoms and distances in Å follow each position.
Atoms (fractional coordinates):
Ca 0.0000 0.0000 0.0000  8 S 3.57, 4 Cl 3.57
In 0.5000 0.5000 0.5000  2 Cl 2.52, 4 S 2.53
S 0.0000 0.5000 0.5000  2 In 2.53
S 0.5000 0.0000 0.5000  2 In 2.53
Cl 0.5000 0.5000 0.0000  2 In 2.52

Computed properties:
Magnetization (μB/cell): 0.000

The following is a DFT calculation (PBE-GGA) of crystalline LiH2Au at its relaxed geometry.

a = 5.3111 Å, b = 5.3111 Å, c = 5.3111 Å
α = 90.00°, β = 90.00°, γ = 90.00°
Closest atoms and distances in Å follow each position.
Atoms (fractional coordinates):
Li 0.0000 0.0000 0.0000  8 H 2.30
Li 0.0000 0.5000 0.5000  8 H 2.30
Li 0.5000 0.0000 0.5000  8 H 2.30
Li 0.5000 0.5000 0.0000  8 H 2.30
H 0.2500 0.2500 0.2500  4 Li 2.30, 4 Au 2.30
H 0.2500 0.2500 0.7500  4 Li 2.30, 4 Au 2.30
H 0.2500 0.7500 0.2500  4 Li 2.30, 4 Au 2.30
H 0.2500 0.7500 0.7500  4 Li 2.30, 4 Au 2.30
H 0.7500 0.2500 0.2500  4 Li 2.30, 4 Au 2.30
H 0.7500 0.2500 0.7500  4 Li 2.30, 4 Au 2.30
H 0.7500 0.7500 0.2500  4 Li 2.30, 4 Au 2.30
H 0.7500 0.7500 0.7500  4 Li 2.30, 4 Au 2.30
Au 0.0000 0.0000 0.5000  8 H 2.30
Au 0.0000 0.5000 0.0000  8 H 2.30
Au 0.5000 0.0000 0.0000  8 H 2.30
Au 0.5000 0.5000 0.5000  8 H 2.30

Computed properties:
Magnetization (μB/cell): 0.000

Number 1: electronic total energy -4.21 eV per atom, density of states at the Fermi level 2.3 states/eV/f.u.. Number 2: electronic total energy -4.23 eV per atom, density of states at the Fermi level 7.2 states/eV/f.u.. Number 3: electronic total energy -3.85 eV per atom, density of states at the Fermi level 1.6 states/eV/f.u.. Number 4: electronic total energy -2.72 eV per atom, density of states at the Fermi level 1.4 states/eV/f.u..